No. 1
TaTeOs2: optimized geometry, PBE-GGA.

Uncorrected energy, eV/atom: -8.88
Energy relative to the elements, uncorrected, eV/atom: 0.481
Crystal system: monoclinic
V, Å³/f.u.: 68.4
N(E_F), states/eV per cell: 2.41

Geometry as POSCAR:
```
TaTeOs2
1.0
2.972 0.000 0.000
0.000 4.276 0.000
-1.479 0.000 5.382
Ta Te Os
1 1 2
direct
0.000 0.000 0.000
0.000 0.000 0.500
0.376 0.500 0.752
0.624 0.500 0.248
```

No. 2
TaTeOs2: optimized geometry, PBE-GGA.

Uncorrected energy, eV/atom: -8.43
Energy relative to the elements, uncorrected, eV/atom: 0.935
Crystal system: tetragonal
V, Å³/f.u.: 99.6
N(E_F), states/eV per cell: 3.42

Geometry as POSCAR:
```
TaTeOs2
1.0
-2.884 2.884 5.987
2.884 -2.884 5.987
2.884 2.884 -5.987
Ta Te Os
2 2 4
direct
0.000 0.000 0.000
0.750 0.250 0.500
0.250 0.750 0.500
0.500 0.500 0.000
0.118 0.625 0.993
0.375 0.368 0.493
0.632 0.125 0.007
0.875 0.882 0.507
```

No. 3
TaTeOs2: optimized geometry, PBE-GGA.

Uncorrected energy, eV/atom: -8.86
Energy relative to the elements, uncorrected, eV/atom: 0.507
Crystal system: orthorhombic
V, Å³/f.u.: 67.6
N(E_F), states/eV per cell: 2.99

Geometry as POSCAR:
```
TaTeOs2
1.0
3.076 0.000 0.000
0.000 4.590 0.000
0.000 0.000 4.792
Ta Te Os
1 1 2
direct
0.000 0.000 0.000
0.500 0.000 0.500
0.000 0.500 0.500
0.500 0.500 0.000
```

No. 4
TaTeOs2: optimized geometry, PBE-GGA.

Uncorrected energy, eV/atom: -8.91
Energy relative to the elements, uncorrected, eV/atom: 0.455
Crystal system: tetragonal
V, Å³/f.u.: 67.8
N(E_F), states/eV per cell: 3.13

Geometry as POSCAR:
```
TaTeOs2
1.0
-2.124 2.124 3.756
2.124 -2.124 3.756
2.124 2.124 -3.756
Ta Te Os
1 1 2
direct
0.000 0.000 0.000
0.500 0.500 0.000
0.250 0.750 0.500
0.750 0.250 0.500
```

No. 5
TaTeOs: optimized geometry, PBE-GGA.

Uncorrected energy, eV/atom: -8.42
Energy relative to the elements, uncorrected, eV/atom: 0.320
Crystal system: trigonal
V, Å³/f.u.: 63.4
N(E_F), states/eV per cell: 3.13

Geometry as POSCAR:
```
TaTeOs
1.0
3.429 0.000 0.000
-1.715 2.970 0.000
0.000 0.000 6.225
Ta Te Os
1 1 1
direct
0.000 0.000 0.000
0.333 0.667 0.373
0.667 0.333 0.753
```

No. 6
TaTeOs: optimized geometry, PBE-GGA.

Uncorrected energy, eV/atom: -8.48
Energy relative to the elements, uncorrected, eV/atom: 0.256
Crystal system: tetragonal
V, Å³/f.u.: 57.6
N(E_F), states/eV per cell: 1.65

Geometry as POSCAR:
```
TaTeOs
1.0
-1.587 1.587 5.717
1.587 -1.587 5.717
1.587 1.587 -5.717
Ta Te Os
1 1 1
direct
0.000 0.000 0.000
0.315 0.315 0.000
0.625 0.625 0.000
```

No. 7
TaTeOs2: optimized geometry, PBE-GGA.

Uncorrected energy, eV/atom: -8.89
Energy relative to the elements, uncorrected, eV/atom: 0.471
Crystal system: orthorhombic
V, Å³/f.u.: 67.7
N(E_F), states/eV per cell: 3.22

Geometry as POSCAR:
```
TaTeOs2
1.0
-1.572 2.310 4.659
1.572 -2.310 4.659
1.572 2.310 -4.659
Ta Te Os
1 1 2
direct
0.000 0.000 0.000
0.248 0.748 0.500
0.473 0.473 0.000
0.736 0.236 0.500
```

No. 8
TaTeOs4: optimized geometry, PBE-GGA.

Uncorrected energy, eV/atom: -9.33
Energy relative to the elements, uncorrected, eV/atom: 0.659
Crystal system: cubic
V, Å³/f.u.: 101.8
N(E_F), states/eV per cell: 5.90

Geometry as POSCAR:
```
TaTeOs4
1.0
0.000 3.706 3.706
3.706 0.000 3.706
3.706 3.706 0.000
Ta Te Os
1 1 4
direct
0.000 0.000 0.000
0.750 0.750 0.750
0.375 0.375 0.375
0.375 0.375 0.876
0.375 0.876 0.375
0.876 0.375 0.375
```

No. 9
TaVTe2Os: optimized geometry, PBE-GGA.

Uncorrected energy, eV/atom: -6.11
Energy relative to the elements, uncorrected, eV/atom: 1.591
Crystal system: tetragonal
V, Å³/f.u.: 136.2
N(E_F), states/eV per cell: 8.14

Geometry as POSCAR:
```
TaVTe2Os
1.0
5.314 0.000 0.000
0.000 5.314 0.000
0.000 0.000 4.824
Ta V Te Os
1 1 2 1
direct
0.000 0.000 0.000
0.500 0.500 0.500
0.000 0.500 0.000
0.500 0.000 0.000
0.000 0.000 0.500
```

No. 10
TaVTe2Os: optimized geometry, PBE-GGA.

Uncorrected energy, eV/atom: -6.16
Energy relative to the elements, uncorrected, eV/atom: 1.542
Crystal system: tetragonal
V, Å³/f.u.: 129.5
N(E_F), states/eV per cell: 8.21

Geometry as POSCAR:
```
TaVTe2Os
1.0
5.169 0.000 0.000
0.000 5.169 0.000
0.000 0.000 4.846
Ta V Te Os
1 1 2 1
direct
0.000 0.000 0.000
0.500 0.500 0.000
0.000 0.500 0.500
0.500 0.000 0.500
0.000 0.000 0.500
```

No. 11
ThTaOs: optimized geometry, PBE-GGA.

Formation enthalpy at 0 K, eV/atom: 0.28
Uncorrected energy, eV/atom: -9.89
Crystal system: orthorhombic
V, Å³/f.u.: 66.3
N(E_F), states/eV per cell: 5.78

Geometry as POSCAR:
```
ThTaOs
1.0
1.569 -7.675 0.000
1.569 7.675 0.000
0.000 0.000 5.508
Th Ta Os
2 2 2
direct
0.176 0.824 0.750
0.824 0.176 0.250
0.500 0.500 0.000
0.500 0.500 0.500
0.356 0.644 0.750
0.644 0.356 0.250
```

No. 12
TaTi2Os3: optimized geometry, PBE-GGA.

Formation enthalpy at 0 K, eV/atom: -0.57
Uncorrected energy, eV/atom: -10.79
Crystal system: tetragonal
V, Å³/f.u.: 91.4
N(E_F), states/eV per cell: 2.59

Geometry as POSCAR:
```
TaTi2Os3
1.0
3.111 0.000 0.000
0.000 3.111 0.000
0.000 0.000 9.439
Ta Ti Os
1 2 3
direct
0.000 0.000 0.000
0.000 0.000 0.338
0.000 0.000 0.662
0.500 0.500 0.174
0.500 0.500 0.500
0.500 0.500 0.826
```

What did the fifth record say?
TaTeOs: optimized geometry, PBE-GGA.

Uncorrected energy, eV/atom: -8.42
Energy relative to the elements, uncorrected, eV/atom: 0.320
Crystal system: trigonal
V, Å³/f.u.: 63.4
N(E_F), states/eV per cell: 3.13

Geometry as POSCAR:
```
TaTeOs
1.0
3.429 0.000 0.000
-1.715 2.970 0.000
0.000 0.000 6.225
Ta Te Os
1 1 1
direct
0.000 0.000 0.000
0.333 0.667 0.373
0.667 0.333 0.753
```

The lowest V belongs to which entry? number 6

What is the formula in the seventh record? TaTeOs2

What is the formula in the first record? TaTeOs2